A plane-wave DFT calculation with GGA-PBE was carried out for a relaxed CaCrRe2 crystal.

SG   F-43m (216)
N(E_F)   2.43 states/eV per cell
Formation energy from the elements   2.56 eV per formula unit
Electronic total energy   -8.4914 eV per atom
ΔE to the lowest computed polymorph   160 meV/atom

Unit cell a=4.5079 b=4.5079 c=4.5079 alpha=60.00 beta=60.00 gamma=60.00
Element x y z (fractional)
Ca 0.0000 0.0000 0.0000
Cr 0.2500 0.2500 0.2500
Re 0.5000 0.5000 0.5000
Re 0.7500 0.7500 0.7500

A plane-wave DFT calculation with GGA-PBE was carried out for a relaxed InNiIrAu crystal.

SG   F-43m (216)
N(E_F)   2.89 states/eV per cell
Formation energy from the elements   0.35 eV per formula unit
Electronic total energy   -5.0773 eV per atom

Unit cell a=4.4974 b=4.4974 c=4.4974 alpha=60.00 beta=60.00 gamma=60.00
Element x y z (fractional)
In 0.0000 0.0000 0.0000
Ni 0.7500 0.7500 0.7500
Ir 0.2500 0.2500 0.2500
Au 0.5000 0.5000 0.5000

A plane-wave DFT calculation with GGA-PBE was carried out for a relaxed Fe2IrRu2 crystal.

SG   P4/mbm (127)
N(E_F)   12.16 states/eV per cell
Formation energy from the elements   1.70 eV per formula unit
Electronic total energy   -8.5276 eV per atom
ΔE to the lowest computed polymorph   122 meV/atom

Unit cell a=7.0067 b=7.0067 c=2.7361 alpha=90.00 beta=90.00 gamma=90.00
Element x y z (fractional)
Fe 0.1689 0.3311 0.0000
Fe 0.3311 0.8311 0.0000
Fe 0.6689 0.1689 0.0000
Fe 0.8311 0.6689 0.0000
Ir 0.0000 0.0000 0.5000
Ir 0.5000 0.5000 0.5000
Ru 0.1283 0.6283 0.5000
Ru 0.3717 0.1283 0.5000
Ru 0.6283 0.8717 0.5000
Ru 0.8717 0.3717 0.5000

A plane-wave DFT calculation with GGA-PBE was carried out for a relaxed LiLaGeN2 crystal.

SG   P4/mmm (123)
Formation energy from raw total energies   0.9499 eV per atom
N(E_F)   5.46 states/eV per cell
Electronic total energy   -4.6720 eV per atom
ΔE to the lowest computed polymorph   1297 meV/atom

Unit cell a=4.3214 b=4.3214 c=6.2620 alpha=90.00 beta=90.00 gamma=90.00
Element x y z (fractional)
Li 0.0000 0.0000 0.0000
La 0.5000 0.5000 0.5000
Ge 0.5000 0.5000 0.0000
N 0.0000 0.5000 0.5000
N 0.5000 0.0000 0.5000